A plane-wave DFT calculation with GGA-PBE was carried out for a relaxed Li3As2Pd2 crystal.

Formation energy from the elements: -0.371 eV/atom
Calculated density: 5.34 g cm⁻³
D(E_F): 0.47 states/eV per atom
Relative energy among the computed polymorphs: 166.4 kJ/mol of formula units
Total magnetic moment: 0.0 Bohr magnetons per cell

Structure (CIF):
```
data_Li3As2Pd2
_chemical_formula_sum 'Li3 As2 Pd2'
_cell_length_a 4.2115
_cell_length_b 2.9251
_cell_length_c 9.6791
_cell_angle_alpha 90.00
_cell_angle_beta 91.07
_cell_angle_gamma 90.00
_symmetry_space_group_name_H-M 'P 1 2/m 1'
_symmetry_Int_Tables_number 10
_symmetry_space_group_name_Hall '-P 2y'
loop_
_atom_site_label
_atom_site_type_symbol
_atom_site_fract_x
_atom_site_fract_y
_atom_site_fract_z
_atom_site_occupancy
Li1 Li 0.0000 0.0000 0.0000 1
Li2 Li 0.2462 0.0000 0.4350 1
As1 As 0.2409 0.5000 0.2083 1
Pd1 Pd 0.2603 0.0000 0.7205 1
```